CuSi2Os | the Alexandria database | PBE-GGA | optimized geometry; DOS at the Fermi energy = 2.18 states/eV/f.u.; spin magnetization = 0.00 μB per formula unit; crystal system = orthorhombic; excess energy over the best structure of this formula in the dataset = 0.170 eV per atom
1.0
2.983 -2.988 0.000
2.983 2.988 0.000
0.000 0.000 2.915
Cu Si Os
1 2 1
Cartesian
0.000 0.000 0.000 Cu
1.492 1.494 1.458 Si
1.492 -1.494 1.458 Si
2.983 0.000 0.000 Os